Record 1
Entry from Alexandria: a relaxed structure of Si2Ag2O5 (GGA-PBE).

a = 5.007 Å, b = 6.716 Å, c = 15.899 Å
α = 90.00°, β = 90.00°, γ = 90.00°
Atoms (fractional coordinates):
Si1 0.788 0.613 0.839
Si2 0.212 0.387 0.161
Si3 0.712 0.887 0.339
Si4 0.788 0.387 0.661
Si5 0.288 0.113 0.661
Si6 0.212 0.613 0.339
Si7 0.712 0.113 0.161
Si8 0.288 0.887 0.839
Ag1 0.756 0.863 0.547
Ag2 0.244 0.137 0.453
Ag3 0.744 0.637 0.047
Ag4 0.756 0.137 0.953
Ag5 0.256 0.363 0.953
Ag6 0.244 0.863 0.047
Ag7 0.744 0.363 0.453
Ag8 0.256 0.637 0.547
O1 0.730 0.500 0.750
O2 0.270 0.500 0.250
O3 0.770 0.000 0.250
O4 0.230 0.000 0.750
O5 0.727 0.530 0.581
O6 0.273 0.470 0.419
O7 0.773 0.970 0.081
O8 0.727 0.470 0.919
O9 0.227 0.030 0.919
O10 0.273 0.530 0.081
O11 0.773 0.030 0.419
O12 0.227 0.970 0.581
O13 0.603 0.816 0.842
O14 0.397 0.184 0.158
O15 0.897 0.684 0.342
O16 0.603 0.184 0.658
O17 0.103 0.316 0.658
O18 0.397 0.816 0.342
O19 0.897 0.316 0.158
O20 0.103 0.684 0.842

Values from the calculation:
Uncorrected formation energy: -1.839 eV/atom

Record 2
Entry from Alexandria: a relaxed structure of Si2AgO (GGA-PBE).

a = 4.591 Å, b = 4.591 Å, c = 6.781 Å
α = 70.21°, β = 70.21°, γ = 90.00°
Atoms (fractional coordinates):
Si1 0.486 0.125 0.250
Si2 0.264 0.625 0.250
Si3 0.375 0.514 0.750
Si4 0.875 0.736 0.750
O1 0.500 0.500 0.000
O2 0.250 0.750 0.500
Ag1 0.000 0.000 0.000
Ag2 0.750 0.250 0.500

Values from the calculation:
Uncorrected formation energy: -0.173 eV/atom
Density of states at the Fermi level: 1.6 states/eV/cell

Record 3
Entry from Alexandria: a relaxed structure of Sm2SiAgO6 (GGA-PBE).

a = 4.669 Å, b = 5.365 Å, c = 5.365 Å
α = 90.00°, β = 90.00°, γ = 90.00°
Atoms (fractional coordinates):
Sm1 0.011 0.500 0.000
Sm2 0.011 0.000 0.500
Si1 0.604 0.000 0.000
Ag1 0.575 0.500 0.500
O1 0.722 0.219 0.219
O2 0.722 0.219 0.781
O3 0.110 0.500 0.500
O4 0.249 0.000 0.000
O5 0.722 0.781 0.781
O6 0.722 0.781 0.219

Values from the calculation:
Uncorrected formation energy: -2.366 eV/atom
Density of states at the Fermi level: 2.5 states/eV/cell